TmFe4As12 | PBE-GGA | relaxed

Output
The value obtained for the spin magnetization is 1.1 μB per formula unit. The value obtained for the calculated volume is 17.0 Å³/atom. As for the formation energy: -0.3426 eV per atom.

a b c (Å): 7.2139 7.2139 7.2139
angles (deg): 109.47 109.47 109.47
Closest atoms and distances in Å follow each position.
Positions (direct):
As: 0.1858 0.8453 0.3405  2 Fe 2.35, 1 As 2.58
As: 0.5048 0.8453 0.6595  2 Fe 2.35, 1 As 2.58
As: 0.8453 0.6595 0.5048  2 Fe 2.35, 1 As 2.58
As: 0.3405 0.1858 0.8453  2 Fe 2.35, 1 As 2.58
Fe: 0.0000 0.5000 0.0000  6 As 2.35
As: 0.8142 0.1547 0.6595  2 Fe 2.35, 1 As 2.58
Tm: 0.0000 0.0000 0.0000  12 As 3.12
As: 0.6595 0.8142 0.1547  2 Fe 2.35, 1 As 2.58
Fe: 0.5000 0.5000 0.5000  6 As 2.35
As: 0.3405 0.4952 0.1547  2 Fe 2.35, 1 As 2.58
Fe: 0.0000 0.0000 0.5000  6 As 2.35
As: 0.8453 0.3405 0.1858  2 Fe 2.35, 1 As 2.58
As: 0.4952 0.1547 0.3405  2 Fe 2.35, 1 As 2.58
As: 0.1547 0.6595 0.8142  2 Fe 2.35, 1 As 2.58
As: 0.1547 0.3405 0.4952  2 Fe 2.35, 1 As 2.58
Fe: 0.5000 0.0000 0.0000  6 As 2.35
As: 0.6595 0.5048 0.8453  2 Fe 2.35, 1 As 2.58